Density functional theory data (PBE-GGA) for a relaxed LiB2IrPd crystal.

```
LiB2IrPd
1.0
4.012 0.000 0.000
0.000 4.533 0.000
0.000 0.000 4.012
B Ir Pd Li
2 1 1 1
Cartesian
0.000 0.000 2.006
2.006 0.000 0.000
0.000 0.000 0.000
2.006 2.267 2.006
0.000 2.267 0.000
```

Magnetic moment in μB/f.u.: 0.00
V in Å³/cell: 73.0
DFT formation energy in eV per formula unit: 2.697